# YbCuW2O8 GGA+U optimized geometry
data_YbCuW2O8
_space_group_name_H-M_alt 'P 1 2/c 1'
_space_group_IT_number 13
_space_group_name_Hall '-P 2yc'
_cell_length_a 5.065
_cell_length_b 6.105
_cell_length_c 10.988
_cell_angle_alpha 90.00
_cell_angle_beta 114.30
_cell_angle_gamma 90.00
loop_
_atom_site_label
_atom_site_fract_x
_atom_site_fract_y
_atom_site_fract_z
_atom_site_occupancy
Yb1 0.000 0.154 0.250 1
Cu1 0.500 0.234 0.750 1
W1 0.244 0.334 0.991 1
O1 0.163 0.411 0.607 1
O2 0.218 0.131 0.106 1
O3 0.279 0.158 0.860 1
O4 0.343 0.387 0.401 1
# DFT total energy (eV/atom): -6.995
# DOS(E_F) (states/eV per cell): 38.37